The following is a SCAN calculation of BeFe3Re at its PBEsol-relaxed geometry, from the Alexandria database.

Cell: 4.375 4.375 4.375 Å, 90.00 90.00 90.00°
Atoms (fractional coordinates):
Re  0.000  0.000  0.000
Fe  0.000  0.500  0.000
Fe  0.000  0.000  0.500
Fe  0.500  0.000  0.000
Be  0.500  0.500  0.500

Symmetry = Pm-3m
Calculated formation energy = 1.87 eV per atom

The following is a SCAN calculation of BeFeRe at its PBEsol-relaxed geometry, from the Alexandria database.

Cell: 2.713 2.713 4.744 Å, 106.62 106.62 90.00°
Atoms (fractional coordinates):
Re  0.667  0.667  0.334
Fe  0.348  0.348  0.696
Be  0.985  0.985  0.970

Symmetry = I4mm
Polymorph energy (0 for the lowest one) = 0 meV per atom
Calculated formation energy = -0.09 eV per atom

The following is a SCAN calculation of BeFeRe at its PBEsol-relaxed geometry, from the Alexandria database.

Cell: 2.618 2.618 5.844 Å, 90.00 90.00 120.00°
Atoms (fractional coordinates):
Re  0.667  0.333  0.337
Fe  0.333  0.667  0.678
Be  0.000  0.000  0.985

Symmetry = P3m1
Polymorph energy (0 for the lowest one) = 261 meV per atom
Calculated formation energy = 0.17 eV per atom

The following is a SCAN calculation of BeFe2Rh at its PBEsol-relaxed geometry, from the Alexandria database.

Cell: 2.823 3.771 4.068 Å, 90.00 90.00 90.00°
Atoms (fractional coordinates):
Be  0.000  0.500  0.500
Rh  0.500  0.000  0.500
Fe  0.000  0.000  0.000
Fe  0.500  0.500  0.000

Symmetry = Pmmm
Calculated formation energy = -0.26 eV per atom

The following is a SCAN calculation of BeFe2Rh at its PBEsol-relaxed geometry, from the Alexandria database.

Cell: 2.788 3.784 4.671 Å, 113.90 107.37 90.00°
Atoms (fractional coordinates):
Be  0.000  0.500  0.000
Rh  0.500  0.000  0.000
Fe  0.741  0.741  0.482
Fe  0.259  0.259  0.518

Symmetry = Immm
Calculated formation energy = -0.23 eV per atom

The following is a SCAN calculation of BeFe2Rh at its PBEsol-relaxed geometry, from the Alexandria database.

Cell: 2.551 2.551 8.026 Å, 80.85 80.85 60.00°
Atoms (fractional coordinates):
Be  0.000  0.000  0.000
Rh  0.500  0.500  0.500
Fe  0.256  0.256  0.232
Fe  0.744  0.744  0.768

Symmetry = R-3m
Calculated formation energy = 0.00 eV per atom

The following is a SCAN calculation of BeFeRh at its PBEsol-relaxed geometry, from the Alexandria database.

Cell: 2.692 2.692 4.778 Å, 106.36 106.36 90.00°
Atoms (fractional coordinates):
Be  0.002  0.002  0.003
Rh  0.345  0.345  0.690
Fe  0.654  0.654  0.307

Symmetry = I4mm
Calculated formation energy = -0.32 eV per atom

The following is a SCAN calculation of BeFeRh2 at its PBEsol-relaxed geometry, from the Alexandria database.

Cell: 2.833 2.833 5.796 Å, 90.00 90.00 90.00°
Atoms (fractional coordinates):
Be  0.500  0.500  0.250
Rh  0.000  0.000  0.018
Rh  0.000  0.000  0.482
Fe  0.500  0.500  0.750

Symmetry = P4/mmm
Calculated formation energy = -0.53 eV per atom

The following is a SCAN calculation of BeFeRh2 at its PBEsol-relaxed geometry, from the Alexandria database.

Cell: 2.891 4.027 4.027 Å, 90.00 90.00 90.00°
Atoms (fractional coordinates):
Be  0.500  0.500  0.500
Rh  0.000  0.000  0.500
Rh  0.000  0.500  0.000
Fe  0.500  0.000  0.000

Symmetry = P4/mmm
Calculated formation energy = -0.47 eV per atom

The following is a SCAN calculation of Be4FeRh at its PBEsol-relaxed geometry, from the Alexandria database.

Cell: 4.219 4.219 4.219 Å, 60.00 60.00 60.00°
Atoms (fractional coordinates):
Be  0.376  0.376  0.376
Be  0.376  0.376  0.872
Be  0.872  0.376  0.376
Be  0.376  0.872  0.376
Rh  0.000  0.000  0.000
Fe  0.750  0.750  0.750

Symmetry = F-43m
Calculated formation energy = -0.43 eV per atom

The following is a SCAN calculation of BeFeRu at its PBEsol-relaxed geometry, from the Alexandria database.

Cell: 2.683 2.683 4.659 Å, 106.74 106.74 90.00°
Atoms (fractional coordinates):
Ru  0.337  0.337  0.673
Fe  0.654  0.654  0.309
Be  0.009  0.009  0.018

Symmetry = I4mm
Polymorph energy (0 for the lowest one) = 0 meV per atom
Calculated formation energy = -0.07 eV per atom

The following is a SCAN calculation of BeFeRu at its PBEsol-relaxed geometry, from the Alexandria database.

Cell: 3.756 3.756 3.756 Å, 60.00 60.00 60.00°
Atoms (fractional coordinates):
Ru  0.250  0.250  0.250
Fe  0.500  0.500  0.500
Be  0.000  0.000  0.000

Symmetry = F-43m
Polymorph energy (0 for the lowest one) = 599 meV per atom
Calculated formation energy = 0.53 eV per atom

The following is a SCAN calculation of Be2FeRu2 at its PBEsol-relaxed geometry, from the Alexandria database.

Cell: 2.965 5.955 5.955 Å, 90.00 90.00 90.00°
Atoms (fractional coordinates):
Ru  0.500  0.173  0.673
Ru  0.500  0.673  0.827
Ru  0.500  0.827  0.327
Ru  0.500  0.327  0.173
Fe  0.000  0.000  0.000
Fe  0.000  0.500  0.500
Be  0.000  0.376  0.876
Be  0.000  0.876  0.624
Be  0.000  0.624  0.124
Be  0.000  0.124  0.376

Symmetry = P4/mbm
Calculated formation energy = -0.36 eV per atom

The following is a SCAN calculation of Be2Fe2Ru at its PBEsol-relaxed geometry, from the Alexandria database.

Cell: 2.699 6.025 6.025 Å, 90.00 90.00 90.00°
Atoms (fractional coordinates):
Ru  0.000  0.000  0.000
Ru  0.000  0.500  0.500
Fe  0.500  0.170  0.670
Fe  0.500  0.670  0.830
Fe  0.500  0.830  0.330
Fe  0.500  0.330  0.170
Be  0.000  0.375  0.875
Be  0.000  0.875  0.625
Be  0.000  0.625  0.125
Be  0.000  0.125  0.375

Symmetry = P4/mbm
Calculated formation energy = -0.13 eV per atom

The following is a SCAN calculation of BeFeS2 at its PBEsol-relaxed geometry, from the Alexandria database.

Cell: 4.915 4.915 5.918 Å, 114.54 114.54 90.00°
Atoms (fractional coordinates):
Be  0.750  0.250  0.500
Be  0.500  0.500  0.000
S  0.384  0.875  0.250
S  0.866  0.375  0.250
S  0.125  0.134  0.750
S  0.625  0.616  0.750
Fe  0.250  0.750  0.500
Fe  0.000  0.000  0.000

Symmetry = I-42d
Raw formation energy = -616 meV per atom

The following is a SCAN calculation of BeFe2Sb at its PBEsol-relaxed geometry, from the Alexandria database.

Cell: 3.079 3.079 5.392 Å, 90.00 90.00 90.00°
Atoms (fractional coordinates):
Sb  0.000  0.000  0.490
Fe  0.000  0.000  0.974
Fe  0.500  0.500  0.223
Be  0.500  0.500  0.814

Symmetry = P4mm
Polymorph energy (0 for the lowest one) = 0 meV per atom
Raw formation energy = 143 meV per atom

The following is a SCAN calculation of BeFe2Sb at its PBEsol-relaxed geometry, from the Alexandria database.

Cell: 4.132 4.132 4.132 Å, 60.00 60.00 60.00°
Atoms (fractional coordinates):
Sb  0.750  0.750  0.750
Fe  0.000  0.000  0.000
Fe  0.250  0.250  0.250
Be  0.500  0.500  0.500

Symmetry = F-43m
Polymorph energy (0 for the lowest one) = 94 meV per atom
Raw formation energy = 237 meV per atom

The following is a SCAN calculation of Be4FeSb at its PBEsol-relaxed geometry, from the Alexandria database.

Cell: 4.417 4.417 4.417 Å, 60.00 60.00 60.00°
Atoms (fractional coordinates):
Sb  0.000  0.000  0.000
Fe  0.750  0.750  0.750
Be  0.378  0.378  0.378
Be  0.378  0.378  0.866
Be  0.866  0.378  0.378
Be  0.378  0.866  0.378

Symmetry = F-43m
Raw formation energy = 151 meV per atom

The following is a SCAN calculation of BeFeSb2 at its PBEsol-relaxed geometry, from the Alexandria database.

Cell: 3.068 3.068 7.068 Å, 90.00 90.00 90.00°
Atoms (fractional coordinates):
Sb  0.000  0.000  0.730
Sb  0.000  0.000  0.270
Fe  0.500  0.500  0.500
Be  0.500  0.500  0.000

Symmetry = P4/mmm
Raw formation energy = 625 meV per atom

The following is a SCAN calculation of Sc2BeFe at its PBEsol-relaxed geometry, from the Alexandria database.

Cell: 3.484 3.714 5.220 Å, 90.00 109.49 90.00°
Atoms (fractional coordinates):
Sc  0.109  0.000  0.217
Sc  0.395  0.500  0.789
Be  0.810  0.000  0.620
Fe  0.693  0.500  0.386

Symmetry = Amm2
Calculated formation energy = -0.04 eV per atom

The following is a SCAN calculation of Sc2BeFe at its PBEsol-relaxed geometry, from the Alexandria database.

Cell: 3.076 4.316 5.233 Å, 114.35 107.09 90.00°
Atoms (fractional coordinates):
Sc  0.026  0.026  0.051
Sc  0.234  0.734  0.469
Be  0.456  0.456  0.911
Fe  0.784  0.284  0.569

Symmetry = Imm2
Calculated formation energy = 0.08 eV per atom

The following is a SCAN calculation of Sc2BeFe at its PBEsol-relaxed geometry, from the Alexandria database.

Cell: 2.932 2.932 9.160 Å, 80.79 80.79 60.00°
Atoms (fractional coordinates):
Sc  0.910  0.910  0.271
Sc  0.090  0.090  0.729
Be  0.500  0.500  0.500
Fe  0.000  0.000  0.000

Symmetry = R-3m
Calculated formation energy = 0.58 eV per atom

The following is a SCAN calculation of ScBe3Fe at its PBEsol-relaxed geometry, from the Alexandria database.

Cell: 3.945 3.945 3.945 Å, 90.00 90.00 90.00°
Atoms (fractional coordinates):
Sc  0.500  0.500  0.500
Be  0.000  0.500  0.000
Be  0.000  0.000  0.500
Be  0.500  0.000  0.000
Fe  0.000  0.000  0.000

Symmetry = Pm-3m
Calculated formation energy = 0.10 eV per atom

The following is a SCAN calculation of ScBeFe2Sn at its PBEsol-relaxed geometry, from the Alexandria database.

Cell: 4.308 4.705 4.705 Å, 90.00 90.00 90.00°
Atoms (fractional coordinates):
Sc  0.500  0.500  0.500
Be  0.500  0.000  0.000
Sn  0.000  0.000  0.000
Fe  0.000  0.000  0.500
Fe  0.000  0.500  0.000

Symmetry = P4/mmm
Calculated formation energy = 0.82 eV per atom

The following is a SCAN calculation of ScTiBeFe2 at its PBEsol-relaxed geometry, from the Alexandria database.

Cell: 4.196 4.196 4.452 Å, 90.00 90.00 90.00°
Atoms (fractional coordinates):
Sc  0.000  0.000  0.000
Be  0.000  0.000  0.500
Fe  0.000  0.500  0.000
Fe  0.500  0.000  0.000
Ti  0.500  0.500  0.500

Symmetry = P4/mmm
Calculated formation energy = 1.36 eV per atom

The following is a SCAN calculation of BeFeSe3 at its PBEsol-relaxed geometry, from the Alexandria database.

Cell: 4.492 4.492 4.492 Å, 90.00 90.00 90.00°
Atoms (fractional coordinates):
Be  0.000  0.000  0.000
Fe  0.500  0.500  0.500
Se  0.000  0.500  0.000
Se  0.000  0.000  0.500
Se  0.500  0.000  0.000

Symmetry = Pm-3m
Raw formation energy = 568 meV per atom

The following is a SCAN calculation of Be2FeSe at its PBEsol-relaxed geometry, from the Alexandria database.

Cell: 3.920 3.920 3.920 Å, 60.00 60.00 60.00°
Atoms (fractional coordinates):
Be  0.000  0.000  0.000
Be  0.250  0.250  0.250
Fe  0.500  0.500  0.500
Se  0.750  0.750  0.750

Symmetry = F-43m
Raw formation energy = 519 meV per atom

The following is a SCAN calculation of Be3FeSe at its PBEsol-relaxed geometry, from the Alexandria database.

Cell: 4.172 4.172 4.172 Å, 90.00 90.00 90.00°
Atoms (fractional coordinates):
Be  0.000  0.500  0.000
Be  0.000  0.000  0.500
Be  0.500  0.000  0.000
Fe  0.500  0.500  0.500
Se  0.000  0.000  0.000

Symmetry = Pm-3m
Raw formation energy = 1216 meV per atom

The following is a SCAN calculation of BeFe3Se at its PBEsol-relaxed geometry, from the Alexandria database.

Cell: 3.969 3.969 3.969 Å, 90.00 90.00 90.00°
Atoms (fractional coordinates):
Be  0.000  0.000  0.000
Fe  0.000  0.500  0.000
Fe  0.000  0.000  0.500
Fe  0.500  0.000  0.000
Se  0.500  0.500  0.500

Symmetry = Pm-3m
Polymorph energy (0 for the lowest one) = 0 meV per atom
Raw formation energy = 564 meV per atom